Entry 1:
Here is MgAs2Os at its PBEsol-relaxed geometry from Alexandria. Energies are from meta-GGA SCAN.

Results
Energy relative to the lowest polymorph listed for this composition (eV/f.u.): 1.65
N(E_F) (states/eV/cell): 2.7
Formation enthalpy at 0 K (meV per atom): 252

Lattice parameters (Å, degrees): 3.1606 4.4757 4.4757 90.00 90.00 90.00
Last column: nearest neighbours and their distance in Å.
Element x y z (fractional)
As: 0.0000 0.0000 0.5000  4 Mg 2.74, 4 Os 2.74
As: 0.0000 0.5000 0.0000  4 Os 2.74, 4 Mg 2.74
Mg: 0.5000 0.5000 0.5000  8 As 2.74
Os: 0.5000 0.0000 0.0000  8 As 2.74

=====

Entry 2:
Here is MgAs2Os at its PBEsol-relaxed geometry from Alexandria. Energies are from meta-GGA SCAN.

Results
Energy relative to the lowest polymorph listed for this composition (eV/f.u.): 0.46
N(E_F) (states/eV/cell): 1.8
Formation enthalpy at 0 K (meV per atom): -47

Lattice parameters (Å, degrees): 3.0069 3.6649 6.7853 105.67 102.80 90.00
Last column: nearest neighbours and their distance in Å.
Element x y z (fractional)
As: 0.9434 0.9434 0.8867  2 Os 2.48, 4 Mg 2.77
As: 0.7133 0.2133 0.4266  4 Os 2.55, 2 Mg 2.72
Mg: 0.5555 0.5555 0.1111  6 As 2.72-2.77, 2 Mg 3.01
Os: 0.2878 0.7878 0.5756  6 As 2.48-2.55

=====

Entry 3:
Here is MgAs2P at its PBEsol-relaxed geometry from Alexandria. Energies are from meta-GGA SCAN.

Results
Energy relative to the lowest polymorph listed for this composition (eV/f.u.): 0.00
N(E_F) (states/eV/cell): 7.1
Formation enthalpy at 0 K (meV per atom): -24

Lattice parameters (Å, degrees): 5.7919 5.7919 7.0950 114.09 114.09 90.00
Last column: nearest neighbours and their distance in Å.
Element x y z (fractional)
P: 0.2500 0.7500 0.5000  4 As 2.40
P: 0.0000 0.0000 0.0000  4 As 2.40
As: 0.9085 0.3750 0.2500  2 P 2.40, 2 Mg 2.63
As: 0.3415 0.8750 0.2500  2 P 2.40, 2 Mg 2.63
As: 0.6250 0.6585 0.7500  2 P 2.40, 2 Mg 2.63
As: 0.1250 0.0915 0.7500  2 P 2.40, 2 Mg 2.63
Mg: 0.7500 0.2500 0.5000  4 As 2.63
Mg: 0.5000 0.5000 0.0000  4 As 2.63

=====

Entry 4:
Here is MgAs4P at its PBEsol-relaxed geometry from Alexandria. Energies are from meta-GGA SCAN.

Results
N(E_F) (states/eV/cell): 3.4
Formation enthalpy at 0 K (meV per atom): 487

Lattice parameters (Å, degrees): 5.4592 5.4592 5.4592 60.00 60.00 60.00
Last column: nearest neighbours and their distance in Å.
Element x y z (fractional)
As: 0.3737 0.3737 0.3737  6 As 2.70-2.76
As: 0.3737 0.3737 0.8789  6 As 2.70-2.76
As: 0.8789 0.3737 0.3737  6 As 2.70-2.76
As: 0.3737 0.8789 0.3737  6 As 2.70-2.76
Mg: 0.7500 0.7500 0.7500  12 As 3.20, 4 P 3.34
P: 0.0000 0.0000 0.0000  12 As 3.20, 4 Mg 3.34

=====

Entry 5:
Here is MgAs3P at its PBEsol-relaxed geometry from Alexandria. Energies are from meta-GGA SCAN.

Results
Energy relative to the lowest polymorph listed for this composition (eV/f.u.): 0.00
N(E_F) (states/eV/cell): 3.5
Formation enthalpy at 0 K (meV per atom): 542

Lattice parameters (Å, degrees): 4.7574 4.7574 4.7574 90.00 90.00 90.00
Last column: nearest neighbours and their distance in Å.
Element x y z (fractional)
P: 0.0000 0.0000 0.0000  6 As 2.38
As: 0.0000 0.5000 0.0000  2 P 2.38
As: 0.0000 0.0000 0.5000  2 P 2.38
As: 0.5000 0.0000 0.0000  2 P 2.38
Mg: 0.5000 0.5000 0.5000  12 As 3.36

=====

Entry 6:
Here is MgAsP2 at its PBEsol-relaxed geometry from Alexandria. Energies are from meta-GGA SCAN.

Results
Energy relative to the lowest polymorph listed for this composition (eV/f.u.): 1.53
N(E_F) (states/eV/cell): 1.4
Formation enthalpy at 0 K (meV per atom): 318

Lattice parameters (Å, degrees): 4.3207 4.7006 4.3207 62.64 90.00 117.36
Last column: nearest neighbours and their distance in Å.
Element x y z (fractional)
P: 0.2500 0.5000 0.2500  4 As 2.80, 4 Mg 2.80, 4 P 3.06
P: 0.7500 0.5000 0.7500  4 Mg 2.80, 4 As 2.80, 4 P 3.06
As: 0.5000 0.0000 0.5000  8 P 2.80, 4 Mg 3.06
Mg: 0.0000 0.0000 0.0000  8 P 2.80, 4 As 3.06

=====

Entry 7:
Here is MgAs3P at its PBEsol-relaxed geometry from Alexandria. Energies are from meta-GGA SCAN.

Results
Energy relative to the lowest polymorph listed for this composition (eV/f.u.): 2.91
N(E_F) (states/eV/cell): 4.7
Formation enthalpy at 0 K (meV per atom): 1125

Lattice parameters (Å, degrees): 4.8295 4.8295 4.8295 90.00 90.00 90.00
Last column: nearest neighbours and their distance in Å.
Element x y z (fractional)
P: 0.5000 0.5000 0.5000  12 As 3.41
As: 0.0000 0.5000 0.0000  2 Mg 2.41
As: 0.0000 0.0000 0.5000  2 Mg 2.41
As: 0.5000 0.0000 0.0000  2 Mg 2.41
Mg: 0.0000 0.0000 0.0000  6 As 2.41

=====

Entry 8:
Here is MgAsP2 at its PBEsol-relaxed geometry from Alexandria. Energies are from meta-GGA SCAN.

Results
Energy relative to the lowest polymorph listed for this composition (eV/f.u.): 1.11
N(E_F) (states/eV/cell): 1.6
Formation enthalpy at 0 K (meV per atom): 213

Lattice parameters (Å, degrees): 3.5129 3.5129 5.4510 90.00 90.00 90.00
Last column: nearest neighbours and their distance in Å.
Element x y z (fractional)
P: 0.0000 0.0000 0.7076  1 P 2.26
P: 0.0000 0.0000 0.2924  1 P 2.26
As: 0.5000 0.5000 0.0000  2 Mg 2.73, 8 P 2.95
Mg: 0.5000 0.5000 0.5000  2 As 2.73, 8 P 2.73

=====

Entry 9:
Here is Mg2AsP at its PBEsol-relaxed geometry from Alexandria. Energies are from meta-GGA SCAN.

Results
Energy relative to the lowest polymorph listed for this composition (eV/f.u.): 0.00
N(E_F) (states/eV/cell): 1.6
Formation enthalpy at 0 K (meV per atom): -386

Lattice parameters (Å, degrees): 3.0924 3.9445 6.8161 101.56 90.00 113.08
Last column: nearest neighbours and their distance in Å.
Element x y z (fractional)
As: 0.5000 0.0000 0.0000  6 Mg 2.75-2.81
Mg: 0.7477 0.4955 0.7359  3 P 2.64-2.69, 3 As 2.75-2.81
Mg: 0.2523 0.5045 0.2641  3 P 2.64-2.69, 3 As 2.75-2.81
P: 0.0000 0.0000 0.5000  6 Mg 2.64-2.69

=====

Entry 10:
Here is MgAs2P at its PBEsol-relaxed geometry from Alexandria. Energies are from meta-GGA SCAN.

Results
Energy relative to the lowest polymorph listed for this composition (eV/f.u.): 0.21
N(E_F) (states/eV/cell): 1.0
Formation enthalpy at 0 K (meV per atom): 29

Lattice parameters (Å, degrees): 3.3986 4.4784 5.4261 114.37 108.25 90.00
Last column: nearest neighbours and their distance in Å.
Element x y z (fractional)
P: 0.0000 0.5000 0.0000  4 As 2.58, 4 Mg 2.81
As: 0.7086 0.7086 0.4171  2 P 2.58
As: 0.2914 0.2914 0.5829  2 P 2.58
Mg: 0.5000 0.0000 0.0000  4 P 2.81, 4 As 2.96

=====

Entry 11:
Here is Mg2AsP at its PBEsol-relaxed geometry from Alexandria. Energies are from meta-GGA SCAN.

Results
Energy relative to the lowest polymorph listed for this composition (eV/f.u.): 0.39
N(E_F) (states/eV/cell): 2.9
Formation enthalpy at 0 K (meV per atom): -289

Lattice parameters (Å, degrees): 3.8062 3.8062 5.3738 90.00 90.00 90.00
Last column: nearest neighbours and their distance in Å.
Element x y z (fractional)
As: 0.5000 0.5000 0.8708  6 Mg 2.69
Mg: 0.0000 0.0000 0.8797  2 P 2.68-2.69, 4 As 2.69
Mg: 0.5000 0.5000 0.3710  2 As 2.69, 4 P 2.69
P: 0.0000 0.0000 0.3786  6 Mg 2.68-2.69

=====

Entry 12:
Here is MgAs2P at its PBEsol-relaxed geometry from Alexandria. Energies are from meta-GGA SCAN.

Results
Energy relative to the lowest polymorph listed for this composition (eV/f.u.): 0.86
N(E_F) (states/eV/cell): 1.7
Formation enthalpy at 0 K (meV per atom): 191

Lattice parameters (Å, degrees): 3.3917 4.5743 4.5743 100.44 90.00 90.00
Last column: nearest neighbours and their distance in Å.
Element x y z (fractional)
P: 0.5000 0.5000 0.5000  8 As 2.85, 2 Mg 2.93
As: 0.0000 0.5000 0.0000  4 Mg 2.85, 4 P 2.85, 2 As 2.93
As: 0.0000 0.0000 0.5000  4 P 2.85, 4 Mg 2.85, 2 As 2.93
Mg: 0.5000 0.0000 0.0000  8 As 2.85, 2 P 2.93

=====

Entry 13:
Here is MgAsP2 at its PBEsol-relaxed geometry from Alexandria. Energies are from meta-GGA SCAN.

Results
Energy relative to the lowest polymorph listed for this composition (eV/f.u.): 0.00
N(E_F) (states/eV/cell): 1.7
Formation enthalpy at 0 K (meV per atom): -65

Lattice parameters (Å, degrees): 3.4861 3.4861 6.1782 90.00 90.00 90.00
Last column: nearest neighbours and their distance in Å.
Element x y z (fractional)
P: 0.0000 0.0000 0.1658  1 As 2.29, 4 P 2.49
P: 0.5000 0.5000 0.1052  4 P 2.49, 1 Mg 2.55
As: 0.0000 0.0000 0.5365  1 P 2.29
Mg: 0.5000 0.5000 0.6926  1 P 2.55, 4 As 2.65

=====

Entry 14:
Here is MgAsP2 at its PBEsol-relaxed geometry from Alexandria. Energies are from meta-GGA SCAN.

Results
Energy relative to the lowest polymorph listed for this composition (eV/f.u.): 1.22
N(E_F) (states/eV/cell): 1.7
Formation enthalpy at 0 K (meV per atom): 241

Lattice parameters (Å, degrees): 3.7047 3.7047 5.5781 109.39 109.39 90.00
Last column: nearest neighbours and their distance in Å.
Element x y z (fractional)
P: 0.0000 0.0000 0.0000  4 As 2.62
P: 0.7500 0.2500 0.5000  4 Mg 2.62
As: 0.5000 0.5000 0.0000  4 P 2.62
Mg: 0.2500 0.7500 0.5000  4 P 2.62